The following is a DFT calculation (PBE-GGA) of a relaxed FePI2 crystal.

Unit cell a=6.8836 b=6.8836 c=6.5825 alpha=58.48 beta=58.48 gamma=90.00
With the nearest neighbours (Å) after each atom.
Atoms (fractional coordinates):
1 I 0.6771 0.1250 0.2500  2 Fe 2.46
2 I 0.0729 0.6250 0.2500  2 Fe 2.46
3 I 0.3750 0.3229 0.7500  2 Fe 2.46
4 I 0.8750 0.9271 0.7500  2 Fe 2.46
5 P 0.5000 0.5000 0.0000  4 I 2.92
6 P 0.2500 0.7500 0.5000  4 I 2.92
7 Fe 0.0000 0.0000 0.0000  4 I 2.46
8 Fe 0.7500 0.2500 0.5000  4 I 2.46

Properties
Distance to the lowest polymorph of the same formula: 0.000 eV per atom
Raw formation energy: 932 meV/atom
Volume: 26.25 Å³ per atom
DOS at the Fermi energy: 1.28 states/eV/atom
Total magnetic moment: 0.000 μB/f.u.

---

The following is a DFT calculation (PBE-GGA) of a relaxed In4Hg2BiPb2 crystal.

Unit cell a=3.5156 b=3.5156 c=24.1195 alpha=90.00 beta=90.00 gamma=120.00
With the nearest neighbours (Å) after each atom.
Atoms (fractional coordinates):
1 In 0.0000 0.0000 0.5626  3 Hg 3.15, 3 Pb 3.45, 6 In 3.52
2 In 0.6667 0.3333 0.0709  3 Hg 3.12, 1 Pb 3.16
3 In 0.6667 0.3333 0.8731  3 Hg 3.15, 9 In 3.34-3.52
4 In 0.0000 0.0000 0.7631  3 Hg 3.17, 9 In 3.34-3.52
5 Hg 0.0000 0.0000 0.9728  6 In 3.12-3.15
6 Hg 0.6667 0.3333 0.6623  6 In 3.15-3.17, 6 Hg 3.52
7 Bi 0.0000 0.0000 0.3237  6 Bi 3.52, 6 Pb 3.58-3.60
8 Pb 0.6667 0.3333 0.4469  3 In 3.45, 6 Pb 3.52, 3 Bi 3.60
9 Pb 0.6667 0.3333 0.2017  1 In 3.16, 6 Pb 3.52

Properties
Volume: 28.68 Å³ per atom
Electronic total energy: -22.536 eV/cell
DOS at the Fermi energy: 0.40 states/eV/atom
Total magnetic moment: 0.000 μB/f.u.

---

The following is a DFT calculation (PBE-GGA) of a relaxed SrHgCl5 crystal.

Unit cell a=7.0320 b=7.0320 c=10.7689 alpha=69.10 beta=69.10 gamma=70.40
With the nearest neighbours (Å) after each atom.
Atoms (fractional coordinates):
1 Sr 0.5675 0.4325 0.2500  7 Cl 2.88-3.17
2 Sr 0.4325 0.5675 0.7500  7 Cl 2.88-3.17
3 Hg 0.0000 0.0000 0.0000  6 Cl 2.47-2.76
4 Hg 0.0000 0.0000 0.5000  6 Cl 2.47-2.76
5 Cl 0.7157 0.8124 0.1025  1 Hg 2.47
6 Cl 0.3514 0.6977 0.4692  1 Hg 2.67, 1 Cl 2.88
7 Cl 0.8124 0.7157 0.6025  1 Hg 2.47
8 Cl 0.9228 0.0772 0.2500  2 Hg 2.76, 1 Sr 2.88
9 Cl 0.3023 0.6486 0.0308  1 Hg 2.67, 1 Cl 2.88
10 Cl 0.6977 0.3514 0.9692  1 Hg 2.67, 1 Cl 2.88
11 Cl 0.0772 0.9228 0.7500  2 Hg 2.76, 1 Sr 2.88
12 Cl 0.1876 0.2843 0.3975  1 Hg 2.47
13 Cl 0.6486 0.3023 0.5308  1 Hg 2.67, 1 Cl 2.88
14 Cl 0.2843 0.1876 0.8975  1 Hg 2.47

Properties
Raw formation energy: -1144 meV/atom
Volume: 32.24 Å³ per atom
DOS at the Fermi energy: 0.61 states/eV/atom
Total magnetic moment: 0.000 μB/f.u.

---

The following is a DFT calculation (PBE-GGA) of a relaxed DyHo5Ru3 crystal.

Unit cell a=7.5886 b=7.5886 c=9.8989 alpha=71.93 beta=71.93 gamma=72.60
With the nearest neighbours (Å) after each atom.
Atoms (fractional coordinates):
1 Dy 0.1013 0.1013 0.7002  3 Ru 2.71-2.74
2 Dy 0.8987 0.8987 0.2998  3 Ru 2.71-2.74
3 Ho 0.9670 0.3654 0.3327  3 Ru 2.70-2.74
4 Ho 0.3012 0.6988 0.0000  3 Ru 2.71-2.74
5 Ho 0.7672 0.7672 0.0335  3 Ru 2.70-2.74
6 Ho 0.4329 0.4329 0.3678  3 Ru 2.70-2.74
7 Ho 0.5671 0.5671 0.6322  3 Ru 2.70-2.74
8 Ho 0.2328 0.2328 0.9665  3 Ru 2.70-2.74
9 Ho 0.3654 0.9670 0.3327  3 Ru 2.70-2.74
10 Ho 0.6988 0.3012 0.0000  3 Ru 2.71-2.74
11 Ho 0.0330 0.6346 0.6673  3 Ru 2.70-2.74
12 Ho 0.6346 0.0330 0.6673  3 Ru 2.70-2.74
13 Ru 0.6669 0.6669 0.8332  6 Ho 2.70-2.74
14 Ru 0.6657 0.6657 0.3327  5 Ho 2.70-2.74, 1 Dy 2.74
15 Ru 0.0000 0.0000 0.0000  4 Ho 2.71-2.74, 2 Dy 2.74
16 Ru 0.0000 0.0000 0.5000  2 Dy 2.71, 4 Ho 2.74
17 Ru 0.3331 0.3331 0.1668  6 Ho 2.70-2.74
18 Ru 0.3343 0.3343 0.6673  5 Ho 2.70-2.74, 1 Dy 2.74

Properties
Volume: 27.89 Å³ per atom
Electronic total energy: -114.681 eV/cell
DOS at the Fermi energy: 0.27 states/eV/atom
Total magnetic moment: 0.000 μB/f.u.

---

The following is a DFT calculation (PBE-GGA) of a relaxed In2Re crystal.

Unit cell a=7.5517 b=7.5517 c=6.1596 alpha=65.94 beta=65.94 gamma=23.18
With the nearest neighbours (Å) after each atom.
Atoms (fractional coordinates):
1 In 0.8337 0.8337 0.1662  4 Re 2.95, 6 In 3.03-3.17
2 In 0.1269 0.1269 0.3732  4 Re 2.96, 6 In 3.03-3.17
3 In 0.1663 0.1663 0.8338  4 Re 2.95, 6 In 3.03-3.17
4 In 0.8731 0.8731 0.6268  4 Re 2.96, 6 In 3.03-3.17
5 Re 0.5000 0.5000 0.8068  1 Re 2.38
6 Re 0.5000 0.5000 0.1932  1 Re 2.38

Properties
Volume: 20.95 Å³ per atom
Electronic total energy: -33.064 eV/cell
DOS at the Fermi energy: 0.43 states/eV/atom
Total magnetic moment: 0.000 μB/f.u.

---

The following is a DFT calculation (PBE-GGA) of a relaxed Mg3TeW crystal.

Unit cell a=5.2912 b=5.2912 c=5.2912 alpha=90.00 beta=90.00 gamma=90.00
With the nearest neighbours (Å) after each atom.
Atoms (fractional coordinates):
1 Mg 0.0000 0.5000 0.0000  2 Te 2.65
2 Mg 0.0000 0.0000 0.5000  2 Te 2.65
3 Mg 0.5000 0.0000 0.0000  2 Te 2.65
4 Te 0.0000 0.0000 0.0000  6 Mg 2.65
5 W 0.5000 0.5000 0.5000  12 Mg 3.74

Properties
Distance to the lowest polymorph of the same formula: 0.208 eV per atom
Raw formation energy: 1345 meV/atom
Volume: 29.63 Å³ per atom
DOS at the Fermi energy: 0.51 states/eV/atom
Total magnetic moment: 3.993 μB/f.u.

---

The following is a DFT calculation (PBE-GGA) of a relaxed LaTb2SmIn4 crystal.

Unit cell a=5.4187 b=5.4187 c=9.4078 alpha=73.26 beta=73.26 gamma=60.00
With the nearest neighbours (Å) after each atom.
Atoms (fractional coordinates):
1 La 0.0000 0.0000 0.0000  8 In 3.33-3.36
2 Tb 0.7501 0.7501 0.7496  8 In 3.29-3.37
3 Tb 0.2499 0.2499 0.2504  8 In 3.29-3.37
4 Sm 0.5000 0.5000 0.5000  8 In 3.29-3.31
5 In 0.3764 0.3764 0.8708  1 Sm 3.29, 4 Tb 3.31-3.37, 3 La 3.33
6 In 0.8736 0.8736 0.3791  4 Tb 3.29-3.33, 3 Sm 3.31, 1 La 3.36
7 In 0.1264 0.1264 0.6209  4 Tb 3.29-3.33, 3 Sm 3.31, 1 La 3.36
8 In 0.6236 0.6236 0.1292  1 Sm 3.29, 4 Tb 3.31-3.37, 3 La 3.33

Properties
Volume: 28.20 Å³ per atom
Electronic total energy: -33.741 eV/cell
DOS at the Fermi energy: 0.51 states/eV/atom
Total magnetic moment: 0.000 μB/f.u.

---

The following is a DFT calculation (PBE-GGA) of a relaxed Sc3CdN crystal.

Unit cell a=6.5364 b=4.4190 c=7.1660 alpha=90.00 beta=117.13 gamma=90.00
With the nearest neighbours (Å) after each atom.
Atoms (fractional coordinates):
1 Sc 0.0684 0.3112 0.4621  2 N 2.24
2 Sc 0.5684 0.3112 0.4621  2 N 2.24
3 Sc 0.9381 0.8112 0.7015  2 N 2.21
4 Sc 0.8077 0.3112 0.9408  2 N 2.24
5 Sc 0.3077 0.3112 0.9408  2 N 2.24
6 Sc 0.4381 0.8112 0.7015  2 N 2.21
7 Cd 0.6881 0.8112 0.2015  10 Sc 3.19-3.21, 2 Cd 3.27
8 Cd 0.1881 0.8112 0.2015  10 Sc 3.19-3.21, 2 Cd 3.27
9 N 0.9381 0.3112 0.7015  6 Sc 2.21-2.24
10 N 0.4381 0.3112 0.7015  6 Sc 2.21-2.24

Properties
Raw formation energy: -884 meV/atom
Volume: 18.42 Å³ per atom
DOS at the Fermi energy: 0.75 states/eV/atom
Total magnetic moment: 0.000 μB/f.u.